The following is a DFT calculation (PBE) of a relaxed TaHg2Sb crystal.

For the calculated volume, the calculation gives 21.65 A^3/atom. As for the energy relative to the elements, uncorrected: 2.04 eV per formula unit.

The space group is I4/mmm (No. 139) and the conventional cell measures 4.114, 4.114 and 10.233 Å, with angles of 90.00, 90.00 and 90.00 degrees. The distinct sites, in fractional coordinates, are Ta at (0.000, 0.000, 0.000), Hg at (0.000, 0.500, 0.250) and Sb at (0.000, 0.000, 0.500).

The following is a DFT calculation (PBE) of a relaxed ErHg7 crystal.

For the calculated volume, the calculation gives 25.44 A^3/atom. Its formation energy is -0.101 eV per atom. Its energy above the lowest structure with this stoichiometry is 2.3 kJ per mole of atoms.

The space group is Fm-3m (No. 225) and the conventional cell measures 9.337, 9.337 and 9.337 Å, with angles of 90.00, 90.00 and 90.00 degrees. The distinct sites, in fractional coordinates, are Er at (0.000, 0.000, 0.000), Hg at (0.000, 0.000, 0.500) and Hg at (0.000, 0.250, 0.250).

The following is a DFT calculation (PBE) of a relaxed LaAl4Cu2Ni crystal.

For the calculated volume, the calculation gives 17.01 A^3/atom. Its formation energy is -0.409 eV per atom.

The space group is R-3m (No. 166, hexagonal axes) and the conventional cell measures 4.1670, 4.1670 and 27.1460 Å, with angles of 90.00, 90.00 and 120.00 degrees. The distinct sites, in fractional coordinates, are La at (0.0000, 0.0000, 0.0000), Al at (0.0000, 0.0000, 0.1351), Al at (0.0000, 0.0000, 0.4101), Cu at (0.0000, 0.0000, 0.2328) and Ni at (0.0000, 0.0000, 0.5000).

The following is a DFT calculation (PBE) of a relaxed DyGeRu crystal.

For the calculated volume, the calculation gives 18.57 A^3/atom. Its formation energy is -0.489 eV per atom.

The space group is I4mm (No. 107) and the conventional cell measures 3.234, 3.234 and 10.656 Å, with angles of 90.00, 90.00 and 90.00 degrees. The distinct sites, in fractional coordinates, are Dy at (0.000, 0.000, 0.000), Ge at (0.000, 0.000, 0.703) and Ru at (0.000, 0.000, 0.314).

Calculated uncorrected energy in order - -3.634; -0.936; -4.642; -6.654 eV per atom
Calculated D(E_F) in order - 0.85; 0.47; 0.43; 0.57 states/eV per atom